Here is an optimized crystal structure of Sb2TeMoO from Alexandria via LeMat-Bulk. Energies are from PBE with a Hubbard U.

Cell lengths 5.2057, 5.2057, 5.1243 Å; angles 90.00, 90.00, 90.00 degrees
Atoms (fractional coordinates):
Sb 0.0000 0.5000 0.0000
Sb 0.5000 0.0000 0.0000
Te 0.0000 0.0000 0.5000
Mo 0.0000 0.0000 0.0000
O 0.5000 0.5000 0.5000

electronic total energy	-3.6248	eV/atom
total magnetic moment	0.00	μB per formula unit
symmetry	P4/mmm
crystal system	tetragonal